GeB2W after structural relaxation, computed with PBE.

It has space group I-42d (No. 122), with a = 5.1027 Å, b = 5.1027 Å, c = 8.8299 Å, α = 90.00°, β = 90.00° and γ = 90.00°. The distinct sites, in fractional coordinates, are Ge at (0.0000, 0.0000, 0.0000), B at (0.2490, 0.2500, 0.6250) and W at (0.0000, 0.0000, 0.5000).

For the formation energy, the calculation gives 831 meV/atom. The theoretical density is 8.03 g/cm³. The calculated total energy comes out at -6.90 eV per atom.

***

BaNiAg after structural relaxation, computed with PBE.

It has space group F-43m (No. 216), with a = 6.9598 Å, b = 6.9598 Å, c = 6.9598 Å, α = 90.00°, β = 90.00° and γ = 90.00°. The distinct sites, in fractional coordinates, are Ba at (0.0000, 0.0000, 0.0000), Ni at (0.2500, 0.2500, 0.2500) and Ag at (0.0000, 0.0000, 0.5000).

For the formation energy, the calculation gives 241 meV/atom. The theoretical density is 5.99 g/cm³. The calculated total energy comes out at -3.28 eV per atom.

***

TbErHg6 after structural relaxation, computed with PBE.

It has space group P4/mmm (No. 123), with a = 4.5031 Å, b = 4.5031 Å, c = 9.6194 Å, α = 90.00°, β = 90.00° and γ = 90.00°. The distinct sites, in fractional coordinates, are Tb at (0.0000, 0.0000, 0.0000), Er at (0.0000, 0.0000, 0.5000), Hg at (0.0000, 0.5000, 0.2516), Hg at (0.5000, 0.5000, 0.0000) and Hg at (0.5000, 0.5000, 0.5000).

For the formation energy, the calculation gives -308 meV/atom. The theoretical density is 13.02 g/cm³. The calculated total energy comes out at -1.68 eV per atom. The value obtained for the energy above the lowest structure with this stoichiometry is 29.2 meV per atom.

***

LiIn2I6 after structural relaxation, computed with PBE.

It has space group C2/c (No. 15), with a = 16.7456 Å, b = 15.4668 Å, c = 9.2526 Å, α = 90.00°, β = 121.75° and γ = 90.00°. The distinct sites, in fractional coordinates, are Li at (0.0000, 0.1815, 0.2500), In at (0.2041, 0.4080, 0.3033), I at (0.1017, 0.0784, 0.5458), I at (0.1319, 0.4840, 0.5002) and I at (0.1397, 0.2381, 0.1914).

The theoretical density is 3.25 g/cm³. The calculated total energy comes out at -2.44 eV per atom. The value obtained for the energy above the lowest structure with this stoichiometry is 0.0 meV per atom. The energy relative to the elements, uncorrected is -57 kJ/mol of atoms.

***

Th3Sn2Au2 after structural relaxation, computed with PBE.

It has space group C2/m (No. 12), with a = 11.6896 Å, b = 4.5431 Å, c = 7.6233 Å, α = 90.00°, β = 107.35° and γ = 90.00°. The distinct sites, in fractional coordinates, are Th at (0.0000, 0.0000, 0.0000), Th at (0.1677, 0.0000, 0.6491), Sn at (0.0539, 0.5000, 0.3352) and Au at (0.1736, 0.5000, 0.9489).

For the formation energy, the calculation gives -604 meV/atom. The theoretical density is 11.41 g/cm³. The calculated total energy comes out at -5.86 eV per atom.

***

VIrOs after structural relaxation, computed with PBE.

It has space group Fddd (No. 70, origin choice 2), with a = 5.1235 Å, b = 10.1826 Å, c = 15.1136 Å, α = 90.00°, β = 90.00° and γ = 90.00°. The distinct sites, in fractional coordinates, are V at (0.1250, 0.1250, 0.0324), Ir at (0.0000, 0.0000, 0.5000) and Os at (0.1250, 0.3293, 0.1250).

For the formation energy, the calculation gives 397 meV/atom. The theoretical density is 14.60 g/cm³. The calculated total energy comes out at -9.34 eV per atom. The value obtained for the energy above the lowest structure with this stoichiometry is 686.4 meV per atom.

***

Pb4SI6 after structural relaxation, computed with PBE.

It has space group P4_2/nmc (No. 137, origin choice 2), with a = 10.6385 Å, b = 10.6385 Å, c = 7.8022 Å, α = 90.00°, β = 90.00° and γ = 90.00°. The distinct sites, in fractional coordinates, are Pb at (0.0054, 0.7500, 0.0910), S at (0.2500, 0.7500, 0.2500), I at (0.0461, 0.5461, 0.7500) and I at (0.2500, 0.2500, 0.1407).

The theoretical density is 6.10 g/cm³. The calculated total energy comes out at -3.11 eV per atom. The energy relative to the elements, uncorrected is -52 kJ/mol of atoms.

***

PmYNi2 after structural relaxation, computed with PBE.

It has space group P4/mmm (No. 123), with a = 4.8849 Å, b = 4.8849 Å, c = 3.3772 Å, α = 90.00°, β = 90.00° and γ = 90.00°. The distinct sites, in fractional coordinates, are Pm at (0.0000, 0.0000, 0.0000), Y at (0.5000, 0.5000, 0.0000) and Ni at (0.0000, 0.5000, 0.5000).

For the formation energy, the calculation gives -309 meV/atom. The theoretical density is 7.24 g/cm³. The calculated total energy comes out at -6.00 eV per atom. The value obtained for the energy above the lowest structure with this stoichiometry is 80.2 meV per atom.

***

TiAg3Se after structural relaxation, computed with PBE.

It has space group Pm-3m (No. 221), with a = 5.0532 Å, b = 5.0532 Å, c = 5.0532 Å, α = 90.00°, β = 90.00° and γ = 90.00°. The distinct sites, in fractional coordinates, are Ti at (0.0000, 0.0000, 0.0000), Ag at (0.0000, 0.0000, 0.5000) and Se at (0.5000, 0.5000, 0.5000).

The theoretical density is 5.80 g/cm³. The calculated total energy comes out at -2.86 eV per atom. The value obtained for the energy above the lowest structure with this stoichiometry is 340.5 meV per atom. The energy relative to the elements, uncorrected is 109 kJ/mol of atoms.

***

Ba2TeC after structural relaxation, computed with PBE.

It has space group Fm-3m (No. 225), with a = 8.0478 Å, b = 8.0478 Å, c = 8.0478 Å, α = 90.00°, β = 90.00° and γ = 90.00°. The distinct sites, in fractional coordinates, are Ba at (0.2500, 0.2500, 0.2500), Te at (0.0000, 0.0000, 0.0000) and C at (0.0000, 0.0000, 0.5000).

The theoretical density is 5.28 g/cm³. The calculated total energy comes out at -3.88 eV per atom. The value obtained for the energy above the lowest structure with this stoichiometry is 207.2 meV per atom. The energy relative to the elements, uncorrected is 16 kJ/mol of atoms.

***

Ho2ThSnC after structural relaxation, computed with PBE.

It has space group P4/mmm (No. 123), with a = 4.9066 Å, b = 4.9066 Å, c = 5.0330 Å, α = 90.00°, β = 90.00° and γ = 90.00°. The distinct sites, in fractional coordinates, are Ho at (0.0000, 0.5000, 0.0000), Th at (0.0000, 0.0000, 0.5000), Sn at (0.5000, 0.5000, 0.5000) and C at (0.0000, 0.0000, 0.0000).

For the formation energy, the calculation gives -520 meV/atom. The theoretical density is 9.49 g/cm³. The calculated total energy comes out at -6.48 eV per atom.

***

K2SbPt after structural relaxation, computed with PBE.

It has space group R3m (No. 160, hexagonal axes), with a = 4.7285 Å, b = 4.7285 Å, c = 20.1651 Å, α = 90.00°, β = 90.00° and γ = 120.00°. The distinct sites, in fractional coordinates, are K at (0.0000, 0.0000, 0.0000), K at (0.0000, 0.0000, 0.2058), Sb at (0.0000, 0.0000, 0.7701) and Pt at (0.0000, 0.0000, 0.4348).

The theoretical density is 5.04 g/cm³. The calculated total energy comes out at -3.45 eV per atom. The energy relative to the elements, uncorrected is -34 kJ/mol of atoms.

***

| no. | D(E_F) (states/eV per cell) |
| --- | --- |
| 1 | 6.01 |
| 2 | 14.31 |
| 3 | 4.58 |
| 4 | 9.93 |
| 5 | 11.74 |
| 6 | 46.26 |
| 7 | 0.00 |
| 8 | 2.96 |
| 9 | 5.18 |
| 10 | 11.25 |
| 11 | 2.89 |
| 12 | 8.31 |